Entry 1:
# CdSi2Br (GGA-PBE, optimized geometry)
# Distance to the lowest polymorph of the same formula, eV per atom: 0.535
# Formation energy from raw total energies, eV per formula unit: 2.23
# Total magnetization, μB per cell: 0.0
# Total DFT energy (no corrections), eV per atom: -2.801
data_CdSi2Br
_chemical_formula_sum 'Cd2 Si4 Br2'
_cell_length_a 3.126
_cell_length_b 5.261
_cell_length_c 10.264
_cell_angle_alpha 90.00
_cell_angle_beta 90.00
_cell_angle_gamma 90.00
_symmetry_space_group_name_H-M 'I m m m'
_symmetry_Int_Tables_number 71
_symmetry_space_group_name_Hall '-I 2 2'
loop_
_atom_site_label
_atom_site_type_symbol
_atom_site_fract_x
_atom_site_fract_y
_atom_site_fract_z
Cd1 Cd 0.000 0.000 0.000
Si1 Si 0.000 0.500 0.265
Br1 Br 0.000 0.000 0.500

***

Entry 2:
# Pr4GaTc (GGA-PBE, optimized geometry)
# Total magnetization, μB per cell: 0.0
# DFT formation energy, eV per atom: -0.163
# Total DFT energy (no corrections), eV per atom: -5.581
data_Pr4GaTc
_chemical_formula_sum 'Pr16 Ga4 Tc4'
_cell_length_a 9.144
_cell_length_b 13.664
_cell_length_c 6.432
_cell_angle_alpha 90.00
_cell_angle_beta 118.25
_cell_angle_gamma 90.00
_symmetry_space_group_name_H-M 'C 1 2/c 1'
_symmetry_Int_Tables_number 15
_symmetry_space_group_name_Hall '-C 2yc'
loop_
_atom_site_label
_atom_site_type_symbol
_atom_site_fract_x
_atom_site_fract_y
_atom_site_fract_z
Pr1 Pr 0.118 0.175 0.079
Pr2 Pr 0.211 0.430 0.315
Ga1 Ga 0.000 0.374 0.750
Tc1 Tc 0.000 0.001 0.750